Entry 1:
DFT (PBE) results for HoMn2Ni9 after structural relaxation.

Summary:
**ΔE to the lowest computed polymorph**: 20 meV per atom

Cell lengths 4.7960, 4.7960, 8.2478 Å; angles 73.10, 73.10, 60.00 degrees
Each line ends with the local moment (μB).
Fractional coordinates of all 12 atoms:
Ni: 0.9188 0.4115 0.2583  0.56
Ni: 0.0812 0.5885 0.7417  0.56
Mn: 0.8551 0.8551 0.4347  3.77
Ni: 0.3340 0.3340 0.9979  0.36
Ni: 0.4115 0.9188 0.2583  0.56
Ni: 0.5885 0.0812 0.7417  0.56
Ho: 0.0000 0.0000 0.0000  -0.09
Ni: 0.5885 0.5885 0.7417  0.56
Ni: 0.5000 0.5000 0.5000  0.58
Ni: 0.6660 0.6660 0.0021  0.36
Mn: 0.1449 0.1449 0.5653  3.77
Ni: 0.4115 0.4115 0.2583  0.56

***

Entry 2:
DFT (PBE) results for HoMn2Ni5 after structural relaxation.

Cell lengths 3.6438, 6.0074, 6.0074 Å; angles 66.45, 72.35, 72.35 degrees
Each line ends with the local moment (μB).
Fractional coordinates of all 8 atoms:
Ni: 0.3659 0.8232 0.4450  0.42
Ho: 0.0000 0.0000 0.0000  -0.11
Ni: 0.6341 0.5550 0.1768  0.42
Ni: 0.3659 0.4450 0.8232  0.42
Mn: 0.2472 0.2528 0.2528  3.12
Mn: 0.7528 0.7472 0.7472  3.12
Ni: 0.0000 0.5000 0.5000  0.41
Ni: 0.6341 0.1768 0.5550  0.42

***

Calculated density (computed, g cm⁻³): 8.62 8.40
VASP energy (computed, eV/atom): -6.411 -6.500